1.
{
  "formula": "FeAsRh3",
  "functional": "GGA-PBE",
  "state": "optimized geometry",
  "lattice": [[4.502, 0.000, 0.000], [0.000, 4.502, 0.000], [0.000, 0.000, 4.502]],
  "species": ["Rh", "As", "Rh", "Rh", "Fe"],
  "fractional_positions": [[0.500, 0.000, 0.000], [0.000, 0.000, 0.000], [0.000, 0.000, 0.500], [0.000, 0.500, 0.000], [0.500, 0.500, 0.500]],
  "mass_density_g_cm3": 7.997,
  "polymorph_energy_mev_per_atom": 0,
  "dos_at_fermi_per_ev_atom": 4.281,
  "sg": "Pm-3m (221)",
  "dft_energy_ha_per_atom": -0.2348
}



2.
{
  "formula": "Fe2AsRh",
  "functional": "GGA-PBE",
  "state": "optimized geometry",
  "lattice": [[3.023, 0.000, 0.000], [0.000, 3.023, 0.000], [0.000, 0.000, 5.834]],
  "species": ["Fe", "Rh", "As", "Fe"],
  "fractional_positions": [[0.000, 0.000, 0.002], [0.000, 0.000, 0.500], [0.500, 0.500, 0.771], [0.500, 0.500, 0.228]],
  "mass_density_g_cm3": 9.017,
  "dos_at_fermi_per_ev_atom": 0.516,
  "sg": "P4mm (99)",
  "dft_energy_ha_per_atom": -0.2683
}



In order of appearance, ΔH_f (0 K) = 0.645 -0.069 eV/atom.